1.
GGA-PBE LaTe2Os, relaxed; DOS(E_F) = 3.3 states/eV per cell; energy relative to the elements, uncorrected = -0.4115 eV per atom; distance to the lowest polymorph of the same formula = 0.0220 eV per atom; SG = Immm; size of the total moment = 0.0 μB/f.u.
1.0
6.9159 0.9579 -0.0964
3.2559 6.1763 0.0964
-4.5506 -4.3304 3.0491
Te Os La
2 1 1
Direct
0.0958 0.0958 0.0000
0.4042 0.4042 0.0000
0.2500 0.7500 0.5000
0.7500 0.2500 0.5000

2.
GGA-PBE PmSm2Pt, relaxed; DOS(E_F) = 16.1 states/eV per cell; distance to the lowest polymorph of the same formula = 0.0000 eV per atom; SG = Pnma; size of the total moment = 0.0 μB/f.u.
1.0
-3.7640 -5.1620 1.7445
5.8332 -4.2120 0.1225
1.3947 2.2094 9.5470
Sm Pm Pt
8 4 4
Direct
0.3263 0.1787 0.4384
0.6737 0.8213 0.5616
0.3263 0.1787 0.0616
0.6737 0.8213 0.9384
0.1737 0.6787 0.0616
0.1737 0.6787 0.4384
0.8263 0.3213 0.9384
0.8263 0.3213 0.5616
0.1378 0.9735 0.7500
0.3622 0.4735 0.7500
0.8622 0.0265 0.2500
0.6378 0.5265 0.2500
0.5629 0.1156 0.7500
0.0629 0.3844 0.2500
0.9371 0.6156 0.7500
0.4371 0.8844 0.2500

3.
GGA-PBE Rb2Pu2CrS6, relaxed; DOS(E_F) = 17.0 states/eV per cell; energy relative to the elements, uncorrected = -1.2847 eV per atom; SG = C2/m; size of the total moment = 6.0 μB/f.u.
1.0
-5.6019 3.6278 -0.1917
1.2941 -4.2873 -4.9521
-2.3318 -5.4302 5.6509
S Rb Pu Cr
6 2 2 1
Direct
0.9376 0.6296 0.3204
0.7557 0.7557 0.6782
0.3704 0.0624 0.6796
0.2443 0.2443 0.3218
0.6296 0.9376 0.3204
0.0624 0.3704 0.6796
0.1700 0.8300 0.0000
0.8300 0.1700 0.0000
0.6667 0.3333 0.5000
0.3333 0.6667 0.5000
0.0000 0.0000 0.5000

4.
GGA-PBE TbY5Er2Sc, relaxed; DOS(E_F) = 33.4 states/eV per cell; SG = Cmc2_1; size of the total moment = 0.0 μB/f.u.; total energy = -101.82 eV per cell
1.0
-4.0155 3.6299 -1.0746
-3.3669 -9.0652 -3.8695
-4.4202 -2.2150 9.0353
Y Er Tb Sc
10 4 2 2
Direct
0.7294 0.4588 0.8315
0.6992 0.3985 0.2022
0.6287 0.2575 0.5221
0.2706 0.5412 0.3315
0.4816 0.9633 0.7383
0.5184 0.0367 0.2383
0.9836 0.9673 0.5152
0.3008 0.6015 0.7022
0.3713 0.7425 0.0221
0.0164 0.0327 0.0152
0.8843 0.7686 0.2359
0.1100 0.2201 0.3120
0.1157 0.2314 0.7359
0.8900 0.7799 0.8120
0.5925 0.1851 0.9487
0.4075 0.8149 0.4487
0.8089 0.6178 0.5181
0.1911 0.3822 0.0181

5.
GGA-PBE KHgAsBr2, relaxed; DOS(E_F) = 7.6 states/eV per cell; energy relative to the elements, uncorrected = 0.1681 eV per atom; distance to the lowest polymorph of the same formula = 0.5201 eV per atom; SG = P4/mmm; size of the total moment = 3.5 μB/f.u.
1.0
6.1250 0.0000 0.0000
0.0000 6.1250 0.0000
0.0000 0.0000 7.1858
Hg K As Br
1 1 1 2
Direct
0.5000 0.5000 0.5000
0.0000 0.0000 0.0000
0.0000 0.0000 0.5000
0.0000 0.5000 0.0000
0.5000 0.0000 0.0000

6.
GGA-PBE Tm4Hg3, relaxed; DOS(E_F) = 10.0 states/eV per cell; distance to the lowest polymorph of the same formula = 0.1631 eV per atom; SG = R-3m; size of the total moment = 0.0 μB/f.u.
1.0
4.9071 0.0000 0.0000
2.4536 4.2497 0.0000
2.4536 1.4166 9.7107
Hg Tm
3 4
Direct
0.3995 0.3995 0.8014
0.5000 0.5000 0.5000
0.6005 0.6005 0.1986
0.8795 0.8795 0.3616
0.1205 0.1205 0.6384
0.7029 0.7029 0.8914
0.2971 0.2971 0.1086

7.
GGA-PBE MnIrPb2, relaxed; DOS(E_F) = 1.7 states/eV per cell; distance to the lowest polymorph of the same formula = 0.3721 eV per atom; SG = F-43m; size of the total moment = 4.0 μB/f.u.
1.0
4.9165 0.0000 0.0000
2.4583 4.2579 0.0000
2.4583 1.4193 4.0143
Pb Mn Ir
2 1 1
Direct
0.0000 0.0000 0.0000
0.2500 0.2500 0.2500
0.7500 0.7500 0.7500
0.5000 0.5000 0.5000

8.
GGA-PBE SmBS3, relaxed; DOS(E_F) = 0.0 states/eV per cell; energy relative to the elements, uncorrected = -1.1486 eV per atom; distance to the lowest polymorph of the same formula = 0.0894 eV per atom; SG = C2/m; size of the total moment = 0.0 μB/f.u.
1.0
4.3317 0.0465 0.0364
0.1794 6.7386 0.0475
0.1791 1.7416 6.5159
S Sm B
6 2 2
Direct
0.9625 0.5451 0.9841
0.9656 0.6198 0.4755
0.5222 0.3593 0.7981
0.5191 0.2846 0.3067
0.5187 0.8679 0.7244
0.9660 0.0364 0.0578
0.4810 0.7363 0.1754
0.0037 0.1680 0.6068
0.7424 0.2865 0.0565
0.7422 0.6179 0.7257

9.
GGA-PBE CdP2IrS, relaxed; DOS(E_F) = 2.1 states/eV per cell; energy relative to the elements, uncorrected = 0.4703 eV per atom; distance to the lowest polymorph of the same formula = 0.0000 eV per atom; SG = P4/mmm; size of the total moment = 0.0 μB/f.u.
1.0
4.4778 0.0000 0.0000
0.0000 4.4778 0.0000
0.0000 0.0000 5.3615
S P Ir Cd
1 2 1 1
Direct
0.0000 0.0000 0.5000
0.0000 0.5000 0.0000
0.5000 0.0000 0.0000
0.0000 0.0000 0.0000
0.5000 0.5000 0.5000

10.
GGA-PBE Pm6Y12Al, relaxed; DOS(E_F) = 26.7 states/eV per cell; SG = R-3; size of the total moment = 0.0 μB/f.u.; total energy = -108.31 eV per cell
1.0
8.4481 0.6826 0.8177
-0.6061 8.4539 0.8177
-0.6061 -0.7061 8.4640
Y Pm Al
12 6 1
Direct
0.2185 0.4630 0.5624
0.1802 0.3590 0.0161
0.8198 0.6410 0.9839
0.9839 0.8198 0.6410
0.5370 0.4376 0.7815
0.0161 0.1802 0.3590
0.3590 0.0161 0.1802
0.6410 0.9839 0.8198
0.5624 0.2185 0.4630
0.4376 0.7815 0.5370
0.7815 0.5370 0.4376
0.4630 0.5624 0.2185
0.2949 0.7414 0.9075
0.2586 0.0925 0.7051
0.9075 0.2949 0.7414
0.0925 0.7051 0.2586
0.7414 0.9075 0.2949
0.7051 0.2586 0.0925
0.0000 0.0000 0.0000

11.
GGA-PBE Ca2ReSi, relaxed; DOS(E_F) = 3.0 states/eV per cell; energy relative to the elements, uncorrected = 0.0897 eV per atom; SG = Amm2; size of the total moment = 0.0 μB/f.u.
1.0
-0.1204 1.8188 3.7059
3.3765 -2.3734 1.2746
5.1266 2.7279 -1.1723
Ca Re Si
2 1 1
Direct
0.0000 0.9808 0.9130
0.5000 0.2706 0.3341
0.0000 0.6764 0.5221
0.5000 0.5723 0.7308

12.
GGA-PBE MgH2SO5, relaxed; DOS(E_F) = 0.0 states/eV per cell; SG = C2/c; size of the total moment = 0.0 μB/f.u.; total energy = -104.65 eV per cell
1.0
-4.8662 1.5657 1.0481
-0.8418 -2.1656 -4.6724
-4.0465 -6.3300 1.2820
S H O Mg
2 4 10 2
Direct
0.4149 0.5851 0.7500
0.5851 0.4149 0.2500
0.8630 0.9541 0.7078
0.0459 0.1370 0.7922
0.1370 0.0459 0.2922
0.9541 0.8630 0.2078
0.2768 0.3274 0.3438
0.6726 0.7232 0.1562
0.3349 0.7175 0.8973
0.7232 0.6726 0.6562
0.8804 0.1196 0.7500
0.3274 0.2768 0.8438
0.7175 0.3349 0.3973
0.1196 0.8804 0.2500
0.6651 0.2825 0.1027
0.2825 0.6651 0.6027
0.5000 0.0000 0.0000
0.0000 0.5000 0.5000